! CrSn2As PBE relaxed; values from VASP
&SYSTEM
  ibrav = 0, nat = 8, ntyp = 3
/
ATOMIC_SPECIES
Cr 52.00 Cr.upf
Sn 118.71 Sn.upf
As 74.92 As.upf
CELL_PARAMETERS angstrom
-3.330 3.330 5.426
3.330 -3.330 5.426
3.330 3.330 -5.426
ATOMIC_POSITIONS crystal
Cr 0.000 0.000 0.000
Cr 0.750 0.250 0.500
Sn 0.131 0.625 0.006
Sn 0.375 0.381 0.506
Sn 0.619 0.125 0.994
Sn 0.875 0.869 0.494
As 0.250 0.750 0.500
As 0.500 0.500 0.000
! Energy of formation from the pure elements (eV/atom): 0.497
! VASP energy (eV per cell): -40.58
! Total magnetization (μB per atom): 0.887

! KTcHg PBE relaxed; values from VASP
&SYSTEM
  ibrav = 0, nat = 3, ntyp = 3
/
ATOMIC_SPECIES
K 39.10 K.upf
Tc 98.00 Tc.upf
Hg 200.59 Hg.upf
CELL_PARAMETERS angstrom
-1.411 2.337 6.091
1.411 -2.337 6.091
1.411 2.337 -6.091
ATOMIC_POSITIONS crystal
K 0.000 0.000 0.000
Tc 0.725 0.725 0.000
Hg 0.278 0.278 0.000
! Energy of formation from the pure elements (eV/atom): 0.833
! VASP energy (eV per cell): -9.27
! Total magnetization (μB per atom): 0.408

! Mo4RuPb PBE relaxed; values from VASP
&SYSTEM
  ibrav = 0, nat = 6, ntyp = 3
/
ATOMIC_SPECIES
Mo 95.94 Mo.upf
Ru 101.07 Ru.upf
Pb 207.20 Pb.upf
CELL_PARAMETERS angstrom
0.000 3.729 3.729
3.729 0.000 3.729
3.729 3.729 0.000
ATOMIC_POSITIONS crystal
Mo 0.124 0.124 0.124
Mo 0.124 0.124 0.628
Mo 0.124 0.628 0.124
Mo 0.628 0.124 0.124
Ru 0.500 0.500 0.500
Pb 0.750 0.750 0.750
! Energy of formation from the pure elements (eV/atom): 0.556
! VASP energy (eV per cell): -52.98
! Total magnetization (μB per atom): 0.000

! ZrTeP3 PBE relaxed; values from VASP
&SYSTEM
  ibrav = 0, nat = 5, ntyp = 3
/
ATOMIC_SPECIES
Zr 91.22 Zr.upf
Te 127.60 Te.upf
P 30.97 P.upf
CELL_PARAMETERS angstrom
4.905 0.000 0.000
0.000 4.905 0.000
0.000 0.000 4.905
ATOMIC_POSITIONS crystal
Zr 0.000 0.000 0.000
Te 0.500 0.500 0.500
P 0.000 0.500 0.500
P 0.500 0.000 0.500
P 0.500 0.500 0.000
! VASP energy (eV per cell): -22.89
! Total magnetization (μB per atom): 0.000
! ΔE_f (raw) (eV/atom): 1.005

! BaTlCu2 PBE relaxed; values from VASP
&SYSTEM
  ibrav = 0, nat = 4, ntyp = 3
/
ATOMIC_SPECIES
Ba 137.33 Ba.upf
Tl 204.38 Tl.upf
Cu 63.55 Cu.upf
CELL_PARAMETERS angstrom
0.000 3.670 3.670
3.670 0.000 3.670
3.670 3.670 0.000
ATOMIC_POSITIONS crystal
Ba 0.000 0.000 0.000
Tl 0.500 0.500 0.500
Cu 0.250 0.250 0.250
Cu 0.750 0.750 0.750
! Energy of formation from the pure elements (eV/atom): 0.146
! VASP energy (eV per cell): -11.90
! Total magnetization (μB per atom): 0.000

! AcTbBi2O6 PBE relaxed; values from VASP
&SYSTEM
  ibrav = 0, nat = 10, ntyp = 4
/
ATOMIC_SPECIES
Ac 227.00 Ac.upf
Tb 158.93 Tb.upf
Bi 208.98 Bi.upf
O 16.00 O.upf
CELL_PARAMETERS angstrom
6.219 0.000 0.000
-3.108 5.392 0.000
-3.107 -1.798 5.137
ATOMIC_POSITIONS crystal
Ac 0.000 0.000 0.000
Tb 0.022 0.511 0.532
Bi 0.445 0.222 0.666
Bi 0.449 0.724 0.173
O 0.222 0.826 0.370
O 0.254 0.892 0.864
O 0.503 0.610 0.864
O 0.544 0.395 0.370
O 0.972 0.361 0.864
O 0.975 0.148 0.370
! VASP energy (eV per cell): -69.29
! Total magnetization (μB per atom): 0.000
! ΔE_f (raw) (eV/atom): -2.304

! Ag6Bi PBE relaxed; values from VASP
&SYSTEM
  ibrav = 0, nat = 7, ntyp = 2
/
ATOMIC_SPECIES
Ag 107.87 Ag.upf
Bi 208.98 Bi.upf
CELL_PARAMETERS angstrom
-3.691 3.691 3.691
3.691 -3.691 3.691
3.691 3.691 -3.691
ATOMIC_POSITIONS crystal
Ag 0.250 0.500 0.750
Ag 0.250 0.750 0.500
Ag 0.500 0.250 0.750
Ag 0.500 0.750 0.250
Ag 0.750 0.250 0.500
Ag 0.750 0.500 0.250
Bi 0.000 0.000 0.000
! Energy of formation from the pure elements (eV/atom): 0.741
! VASP energy (eV per cell): -15.80
! Total magnetization (μB per atom): 0.000

! LaBeOs PBE relaxed; values from VASP
&SYSTEM
  ibrav = 0, nat = 3, ntyp = 3
/
ATOMIC_SPECIES
La 138.91 La.upf
Be 9.01 Be.upf
Os 190.23 Os.upf
CELL_PARAMETERS angstrom
4.009 0.000 0.000
-2.005 3.472 0.000
0.000 0.000 4.203
ATOMIC_POSITIONS crystal
La 0.000 0.000 0.000
Be 0.333 0.667 0.500
Os 0.667 0.333 0.500
! Energy of formation from the pure elements (eV/atom): -0.043
! VASP energy (eV per cell): -20.01
! Total magnetization (μB per atom): 0.000

> total magnetization of number 1 (CrSn2As)?

0.887 μB per atom

> total magnetization of number 6 (AcTbBi2O6)?

0.000 μB per atom

> What is the formula in the fourth record?

ZrTeP3